Record 1
Density functional theory data (GGA-PBE) for a relaxed structure of Zr2ScTaF.

As for the crystal system: tetragonal.

```
Zr2ScTaF
1.0
4.648 0.000 0.000
0.000 4.648 0.000
0.000 0.000 4.301
Zr Sc Ta F
2 1 1 1
direct
0.000 0.500 0.000
0.500 0.000 0.000
0.000 0.000 0.500
0.500 0.500 0.500
0.000 0.000 0.000
```

---

Record 2
Density functional theory data (GGA-PBE) for a relaxed structure of TbSc2F8.

As for the crystal system: trigonal.

```
TbSc2F8
1.0
7.064 0.000 0.000
-3.532 6.118 0.000
0.000 0.000 4.105
Tb Sc F
1 2 8
direct
0.000 0.000 0.000
0.333 0.667 0.770
0.667 0.333 0.230
0.172 0.343 0.779
0.172 0.828 0.779
0.333 0.667 0.273
0.343 0.172 0.221
0.657 0.828 0.779
0.667 0.333 0.727
0.828 0.172 0.221
0.828 0.657 0.221
```

---

Record 3
Density functional theory data (GGA-PBE) for a relaxed structure of Tb3ScF.

As for the crystal system: cubic.

```
Tb3ScF
1.0
4.965 0.000 0.000
0.000 4.965 0.000
0.000 0.000 4.965
Tb Sc F
3 1 1
direct
0.000 0.000 0.500
0.000 0.500 0.000
0.500 0.000 0.000
0.500 0.500 0.500
0.000 0.000 0.000
```

---

Record 4
Density functional theory data (GGA-PBE) for a relaxed structure of TbSc2F.

As for the crystal system: trigonal.

```
TbSc2F
1.0
1.718 0.992 8.172
-1.718 0.992 8.172
0.000 -1.983 8.172
Tb Sc F
1 2 1
direct
0.000 0.000 0.000
0.223 0.223 0.223
0.777 0.777 0.777
0.500 0.500 0.500
```

---

Record 5
Density functional theory data (GGA-PBE) for a relaxed structure of Tb2ScF.

As for the crystal system: trigonal.

```
Tb2ScF
1.0
1.816 1.049 8.203
-1.816 1.049 8.203
0.000 -2.097 8.203
Tb Sc F
2 1 1
direct
0.226 0.226 0.226
0.774 0.774 0.774
0.000 0.000 0.000
0.500 0.500 0.500
```

---

Record 6
Density functional theory data (GGA-PBE) for a relaxed structure of ScTcF2.

Its energy above the most stable polymorph in this dataset is 0.000 eV per atom. As for the crystal system: trigonal.

```
ScTcF2
1.0
1.399 0.808 7.501
-1.399 0.808 7.501
0.000 -1.616 7.501
Sc Tc F
1 1 2
direct
0.000 0.000 0.000
0.500 0.500 0.500
0.402 0.402 0.402
0.598 0.598 0.598
```

---

Record 7
Density functional theory data (GGA-PBE) for a relaxed structure of Sc2TcF4.

As for the crystal system: tetragonal.

```
Sc2TcF4
1.0
-2.046 2.046 7.247
2.046 -2.046 7.247
2.046 2.046 -7.247
Sc Tc F
2 1 4
direct
0.126 0.126 0.000
0.874 0.874 0.000
0.500 0.500 0.000
0.000 0.500 0.500
0.254 0.254 0.000
0.500 0.000 0.500
0.746 0.746 0.000
```

---

Record 8
Density functional theory data (GGA-PBE) for a relaxed structure of Sc3TcF.

As for the crystal system: cubic.

```
Sc3TcF
1.0
5.037 0.000 0.000
0.000 5.037 0.000
0.000 0.000 5.037
Sc Tc F
3 1 1
direct
0.000 0.000 0.500
0.000 0.500 0.000
0.500 0.000 0.000
0.000 0.000 0.000
0.500 0.500 0.500
```

---

Record 9
Density functional theory data (GGA-PBE) for a relaxed structure of ScTcF2.

Its energy above the most stable polymorph in this dataset is 0.669 eV per atom. As for the crystal system: cubic.

```
ScTcF2
1.0
0.000 3.009 3.009
3.009 0.000 3.009
3.009 3.009 0.000
Sc Tc F
1 1 2
direct
0.000 0.000 0.000
0.500 0.500 0.500
0.250 0.250 0.250
0.750 0.750 0.750
```

---

Record 10
Density functional theory data (GGA-PBE) for a relaxed structure of ScTcF2.

Its energy above the most stable polymorph in this dataset is 0.528 eV per atom. As for the crystal system: trigonal.

```
ScTcF2
1.0
2.022 1.167 3.891
-2.022 1.167 3.891
0.000 -2.335 3.891
Sc Tc F
1 1 2
direct
0.000 0.000 0.000
0.500 0.500 0.500
0.183 0.183 0.183
0.817 0.817 0.817
```

---

Record 11
Density functional theory data (GGA-PBE) for a relaxed structure of ScTcF2.

Its energy above the most stable polymorph in this dataset is 0.317 eV per atom. As for the crystal system: tetragonal.

```
ScTcF2
1.0
-1.927 1.927 7.391
1.927 -1.927 7.391
1.927 1.927 -7.391
Sc Tc F
2 2 4
direct
0.000 0.000 0.000
0.750 0.250 0.500
0.250 0.750 0.500
0.500 0.500 0.000
0.129 0.625 0.004
0.375 0.379 0.504
0.621 0.125 0.996
0.875 0.871 0.496
```

---

Record 12
Density functional theory data (GGA-PBE) for a relaxed structure of ScTl2TcF.

As for the crystal system: tetragonal.

```
ScTl2TcF
1.0
5.758 0.000 0.000
0.000 5.758 0.000
0.000 0.000 3.853
Sc Tl Tc F
1 2 1 1
direct
0.000 0.000 0.000
0.000 0.500 0.000
0.500 0.000 0.000
0.500 0.500 0.500
0.000 0.000 0.500
```

---

| no. | DOS at the Fermi energy (states/eV/atom) | formation energy from raw total energies (kJ/mol of atoms) |
| --- | --- | --- |
| 1 | 0.8441 | -59.9 |
| 2 | 0.2254 | -361.5 |
| 3 | 0.9419 | -89.0 |
| 4 | 1.2883 | -102.4 |
| 5 | 0.8742 | -106.4 |
| 6 | 0.8412 | -146.7 |
| 7 | 0.5315 | -144.8 |
| 8 | 0.8440 | -10.8 |
| 9 | 0.6571 | -82.2 |
| 10 | 0.6408 | -95.8 |
| 11 | 0.3983 | -116.1 |
| 12 | 0.9918 | -3.9 |